# 1
{"formula": "Rb2YAlO4", "functional": "PBE-GGA", "state": "optimized geometry", "lattice": [[0.000, 6.270, 11.443], [2.778, 0.000, 11.443], [2.778, 6.270, 0.000]], "species": ["Rb", "Rb", "Rb", "Rb", "Y", "Y", "Al", "Al", "O", "O", "O", "O", "O", "O", "O", "O"], "frac_coords": [[0.061, 0.061, 0.689], [0.311, 0.311, 0.939], [0.689, 0.689, 0.061], [0.939, 0.939, 0.311], [0.125, 0.125, 0.125], [0.875, 0.875, 0.875], [0.375, 0.375, 0.375], [0.625, 0.625, 0.625], [0.043, 0.630, 0.536], [0.292, 0.536, 0.630], [0.370, 0.957, 0.708], [0.464, 0.708, 0.957], [0.536, 0.292, 0.043], [0.630, 0.043, 0.292], [0.708, 0.464, 0.370], [0.957, 0.370, 0.464]], "raw_formation_energy_ev_per_atom": -2.23, "total_energy_ev_per_cell": -99.69}

---

# 2
{"formula": "TbPd5Pb", "functional": "PBE-GGA", "state": "optimized geometry", "lattice": [[-2.718, 3.580, 3.724], [2.718, -3.580, 3.724], [2.718, 3.580, -3.724]], "species": ["Tb", "Pd", "Pd", "Pd", "Pd", "Pd", "Pb"], "frac_coords": [[0.000, 0.000, 0.000], [0.188, 0.504, 0.684], [0.351, 0.351, 0.000], [0.684, 0.427, 0.743], [0.684, 0.940, 0.257], [0.821, 0.504, 0.316], [0.332, 0.832, 0.500]], "formation_energy_ev_per_atom": -0.23, "total_energy_ev_per_cell": -35.89}

---

# 3
{"formula": "AsRh", "functional": "PBE-GGA", "state": "optimized geometry", "lattice": [[4.996, 0.000, 0.000], [0.000, 4.996, 0.000], [0.000, 0.000, 4.996]], "species": ["As", "As", "As", "As", "Rh", "Rh", "Rh", "Rh"], "frac_coords": [[0.070, 0.430, 0.570], [0.430, 0.570, 0.070], [0.570, 0.070, 0.430], [0.930, 0.930, 0.930], [0.075, 0.925, 0.425], [0.425, 0.075, 0.925], [0.575, 0.575, 0.575], [0.925, 0.425, 0.075]], "formation_energy_ev_per_atom": -0.36, "total_energy_ev_per_cell": -50.91}

---

# 4
{"formula": "SbPPtS2", "functional": "PBE-GGA", "state": "optimized geometry", "lattice": [[4.863, 0.000, 0.000], [0.000, 4.863, 0.000], [0.000, 0.000, 5.115]], "species": ["Sb", "P", "Pt", "S", "S"], "frac_coords": [[0.000, 0.000, 0.000], [0.000, 0.000, 0.500], [0.500, 0.500, 0.500], [0.000, 0.500, 0.000], [0.500, 0.000, 0.000]], "raw_formation_energy_ev_per_atom": 1.28, "relative_energy_ev_per_atom": 0.813, "total_energy_ev_per_cell": -17.44}

---

# 5
{"formula": "YBr", "functional": "PBE-GGA", "state": "optimized geometry", "lattice": [[5.848, 0.000, 0.000], [0.000, 5.848, 0.000], [0.000, 0.000, 5.894]], "species": ["Y", "Y", "Y", "Y", "Br", "Br", "Br", "Br"], "frac_coords": [[0.214, 0.214, 0.000], [0.286, 0.714, 0.500], [0.714, 0.286, 0.500], [0.786, 0.786, 0.000], [0.215, 0.215, 0.500], [0.285, 0.715, 0.000], [0.715, 0.285, 0.000], [0.785, 0.785, 0.500]], "raw_formation_energy_ev_per_atom": -0.75, "total_energy_ev_per_cell": -38.58}

---

# 6
{"formula": "Li2MgAu", "functional": "PBE-GGA", "state": "optimized geometry", "lattice": [[-2.024, 2.029, 4.092], [2.024, -2.029, 4.092], [2.024, 2.029, -4.092]], "species": ["Li", "Li", "Mg", "Au"], "frac_coords": [[0.250, 0.250, 0.000], [0.750, 0.750, 0.000], [0.500, 0.000, 0.500], [0.000, 0.500, 0.500]], "formation_energy_ev_per_atom": -0.40, "total_energy_ev_per_cell": -10.31}

---

# 7
{"formula": "PmTe2", "functional": "PBE-GGA", "state": "optimized geometry", "lattice": [[2.912, -2.907, 0.000], [2.912, 2.907, 0.000], [-2.907, 0.000, 5.209]], "species": ["Pm", "Te", "Te"], "frac_coords": [[0.000, 0.000, 0.000], [0.349, 0.349, 0.696], [0.651, 0.651, 0.304]], "raw_formation_energy_ev_per_atom": -1.08, "relative_energy_ev_per_atom": 0.164, "total_energy_ev_per_cell": -14.28}

---

# 8
{"formula": "ZrGaPb", "functional": "PBE-GGA", "state": "optimized geometry", "lattice": [[3.309, 0.000, 0.000], [-1.633, 5.638, 0.000], [-1.618, -0.479, 7.335]], "species": ["Zr", "Zr", "Ga", "Ga", "Pb", "Pb"], "frac_coords": [[0.000, 0.000, 0.000], [0.154, 0.720, 0.599], [0.563, 0.845, 0.286], [0.888, 0.149, 0.643], [0.335, 0.330, 0.349], [0.687, 0.467, 0.922]], "formation_energy_ev_per_atom": -0.17, "relative_energy_ev_per_atom": 0.032, "total_energy_ev_per_cell": -31.56}

---

# 9
{"formula": "Sb3PtC", "functional": "PBE-GGA", "state": "optimized geometry", "lattice": [[5.257, 0.000, 0.000], [0.000, 5.257, 0.000], [0.000, 0.000, 5.257]], "species": ["Sb", "Sb", "Sb", "Pt", "C"], "frac_coords": [[0.000, 0.000, 0.500], [0.000, 0.500, 0.000], [0.500, 0.000, 0.000], [0.000, 0.000, 0.000], [0.500, 0.500, 0.500]], "raw_formation_energy_ev_per_atom": 1.69, "relative_energy_ev_per_atom": 0.781, "total_energy_ev_per_cell": -19.20}

---

# 10
{"formula": "BiRuOF2", "functional": "PBE-GGA", "state": "optimized geometry", "lattice": [[4.578, 0.000, 0.000], [0.000, 4.578, 0.000], [0.000, 0.000, 3.683]], "species": ["Bi", "Ru", "O", "F", "F"], "frac_coords": [[0.000, 0.000, 0.000], [0.500, 0.500, 0.500], [0.500, 0.500, 0.000], [0.000, 0.500, 0.500], [0.500, 0.000, 0.500]], "raw_formation_energy_ev_per_atom": -0.78, "relative_energy_ev_per_atom": 0.000, "total_energy_ev_per_cell": -25.77}

---

# 11
{"formula": "Sr3Sm3MgS8", "functional": "PBE-GGA", "state": "optimized geometry", "lattice": [[4.048, 2.337, 6.878], [-4.048, 2.337, 6.878], [0.000, -4.674, 6.878]], "species": ["Sr", "Sr", "Sr", "Sm", "Sm", "Sm", "Mg", "S", "S", "S", "S", "S", "S", "S", "S"], "frac_coords": [[0.000, 0.500, 0.500], [0.500, 0.000, 0.500], [0.500, 0.500, 0.000], [0.000, 0.000, 0.500], [0.000, 0.500, 0.000], [0.500, 0.000, 0.000], [0.500, 0.500, 0.500], [0.245, 0.245, 0.245], [0.253, 0.733, 0.733], [0.267, 0.267, 0.747], [0.267, 0.747, 0.267], [0.733, 0.253, 0.733], [0.733, 0.733, 0.253], [0.747, 0.267, 0.267], [0.755, 0.755, 0.755]], "raw_formation_energy_ev_per_atom": -1.97, "total_energy_ev_per_cell": -83.39}

---

# 12
{"formula": "Pm6SmDy2Er3", "functional": "PBE-GGA", "state": "optimized geometry", "lattice": [[3.119, -5.401, 0.000], [3.119, 5.401, 0.000], [-2.073, 0.000, 11.650]], "species": ["Pm", "Pm", "Pm", "Pm", "Pm", "Pm", "Sm", "Dy", "Dy", "Er", "Er", "Er"], "frac_coords": [[0.082, 0.416, 0.248], [0.250, 0.250, 0.752], [0.416, 0.082, 0.248], [0.584, 0.918, 0.752], [0.750, 0.750, 0.248], [0.918, 0.584, 0.752], [0.500, 0.500, 0.500], [0.167, 0.833, 0.500], [0.833, 0.167, 0.500], [0.000, 0.000, 0.000], [0.333, 0.667, 0.000], [0.667, 0.333, 0.000]], "formation_energy_ev_per_atom": 0.01, "total_energy_ev_per_cell": -55.95}